Record 1
TbScCoPd | PBE | relaxed

## Properties
- Formation energy: -500 meV per atom
- Raw total energy: -6.31 eV per atom
- Size of the total moment: 0.02 μB per atom

a = 4.7214 Å, b = 4.7214 Å, c = 4.7214 Å
α = 60.00°, β = 60.00°, γ = 60.00°
Atoms (fractional coordinates):
1 Tb 0.0000 0.0000 0.0000
2 Sc 0.5000 0.5000 0.5000
3 Co 0.7500 0.7500 0.7500
4 Pd 0.2500 0.2500 0.2500

***

Record 2
FeMo2Br | PBE | relaxed

## Properties
- ΔE_f (raw): 0.56 eV per atom
- Raw total energy: -7.39 eV per atom
- Size of the total moment: 0.59 μB per atom

a = 8.7017 Å, b = 8.7017 Å, c = 8.7017 Å
α = 19.77°, β = 19.77°, γ = 19.77°
Atoms (fractional coordinates):
1 Fe 0.0000 0.0000 0.0000
2 Mo 0.2615 0.2615 0.2615
3 Mo 0.5061 0.5061 0.5061
4 Br 0.7594 0.7594 0.7594